Here is a relaxed structure of LiCaNb2Mo from Alexandria via LeMat-Bulk. Energies are from PBE-GGA.

abc: 4.819 4.819 5.272
angles: 90.00 90.00 90.00
Atoms (fractional coordinates):
Li (0.000, 0.000, 0.000)
Ca (0.500, 0.500, 0.000)
Nb (0.000, 0.500, 0.500)
Nb (0.500, 0.000, 0.500)
Mo (0.000, 0.000, 0.500)

Output
V, Å³ per atom: 24.5
Calculated total energy, eV per atom: -6.135
Symmetry: P4/mmm (123)
Formation enthalpy at 0 K, meV per atom: 842